Here is a geometry-optimized TiVP structure from Alexandria via LeMat-Bulk. Energies are from GGA-PBE.

Its total energy is -8.184 eV per atom. The density comes out at 5.0 g cm⁻³. For the energy of formation, the calculation gives -2.13 eV per formula unit. The calculation puts the total magnetization at 0.00 μB per formula unit.

It has space group P1 (No. 1), with a = 3.168 Å, b = 4.606 Å, c = 6.162 Å, α = 84.60°, β = 82.80° and γ = 75.46°. The distinct sites, in fractional coordinates, are Ti at (0.000, 0.000, 0.000), Ti at (0.311, 0.453, 0.690), V at (0.144, 0.108, 0.413), V at (0.702, 0.626, 0.335), P at (0.326, 0.432, 0.086) and P at (0.650, 0.891, 0.680).